# 1
Pa3Cu2Ni7: optimized geometry, PBE.

Summary:
Uncorrected energy = -81.145 eV per formula unit

Lattice parameters (Å, degrees): 4.9486 4.9486 24.6308 90.00 90.00 120.00
Space group R-3m (No. 166, hexagonal axes)
One atom of each set of equivalent atoms:
Pa 0.0000 0.0000 0.0000
Pa 0.0000 0.0000 0.1407
Cu 0.0000 0.0000 0.3322
Ni 0.0000 0.0000 0.5000
Ni 0.0023 0.5012 0.0827

# 2
Cs2TiVS4: optimized geometry, PBE.

Summary:
Uncorrected formation energy = -1.253 eV/atom

Lattice parameters (Å, degrees): 5.9073 14.1782 25.1453 90.00 90.00 90.00
Space group Fddd (No. 70, origin choice 2)
One atom of each set of equivalent atoms:
Cs 0.1250 0.1250 0.3002
Ti 0.1250 0.1250 0.6250
V 0.1250 0.1250 0.1250
S 0.1217 0.2849 0.4239

# 3
YIr2W2: optimized geometry, PBE.

Summary:
Uncorrected energy = -50.781 eV per formula unit

Lattice parameters (Å, degrees): 7.9171 7.9171 2.8078 90.00 90.00 90.00
Space group P4/mbm (No. 127)
One atom of each set of equivalent atoms:
Y 0.0000 0.0000 0.0000
Ir 0.1719 0.3281 0.5000
W 0.1189 0.6189 0.0000

# 4
Co2OsPt: optimized geometry, PBE.

Summary:
Uncorrected energy = -31.014 eV per formula unit

Lattice parameters (Å, degrees): 2.6607 3.7288 5.2417 90.00 90.00 90.00
Space group Pmm2 (No. 25)
One atom of each set of equivalent atoms:
Co 0.0000 0.0000 0.0000
Co 0.5000 0.5000 0.2388
Os 0.0000 0.0000 0.4646
Pt 0.5000 0.5000 0.7458

# 5
CeSm7Tm4: optimized geometry, PBE.

Summary:
Uncorrected energy = -55.122 eV per formula unit

Lattice parameters (Å, degrees): 18.7417 7.0308 5.9577 90.00 90.29 90.00
Space group C2/m (No. 12)
One atom of each set of equivalent atoms:
Ce 0.0000 0.0000 0.0000
Sm 0.0000 0.0000 0.5000
Sm 0.0369 0.5000 0.7517
Sm 0.1871 0.0000 0.7480
Sm 0.2117 0.5000 0.7518
Tm 0.1367 0.2677 0.2490

| no. | theoretical density (g cm⁻³) | size of the total moment (Bohr magnetons per cell) |
| --- | --- | --- |
| 1 | 11.740 | 0.00 |
| 2 | 3.109 | 21.43 |
| 3 | 15.870 | 0.00 |
| 4 | 16.067 | 2.74 |
| 5 | 7.904 | 3.05 |